[1]
First-principles (PBE-GGA) data for a geometry-optimized FeMoBr2 structure, as listed in Alexandria via LeMat-Bulk.

Values from the calculation:
Formation energy without anion corrections, eV/atom: 0.23
Size of the total moment, μB per atom: 0.029
SG: No. 6
Energy relative to the lowest polymorph listed for this composition, meV/atom: 186

Cell lengths 4.1618, 3.3449, 7.2245 Å; angles 90.00, 104.28, 90.00 degrees
Element x y z (fractional)
Fe  0.0000  0.0000  0.0000
Mo  0.3510  0.5000  0.9746
Br  0.5454  0.0000  0.7272
Br  0.8583  0.5000  0.2474

---

[2]
First-principles (PBE-GGA) data for a geometry-optimized FeMoBr2 structure, as listed in Alexandria via LeMat-Bulk.

Values from the calculation:
Formation energy without anion corrections, eV/atom: 1.10
Size of the total moment, μB per atom: 0.004
SG: No. 216
Energy relative to the lowest polymorph listed for this composition, meV/atom: 1050

Cell lengths 4.8552, 4.8552, 4.8552 Å; angles 60.00, 60.00, 60.00 degrees
Element x y z (fractional)
Fe  0.0000  0.0000  0.0000
Mo  0.2500  0.2500  0.2500
Br  0.5000  0.5000  0.5000
Br  0.7500  0.7500  0.7500

---

[3]
First-principles (PBE-GGA) data for a geometry-optimized FeMoBr2 structure, as listed in Alexandria via LeMat-Bulk.

Values from the calculation:
Formation energy without anion corrections, eV/atom: 0.90
Size of the total moment, μB per atom: 1.259
SG: No. 47
Energy relative to the lowest polymorph listed for this composition, meV/atom: 853

Cell lengths 3.0869, 4.3355, 5.9663 Å; angles 90.00, 90.00, 90.00 degrees
Element x y z (fractional)
Fe  0.0000  0.0000  0.0000
Mo  0.5000  0.0000  0.5000
Br  0.0000  0.5000  0.5000
Br  0.5000  0.5000  0.0000